HfFe3Pt | PBEsol | relaxed

Cell and atoms, written as POSCAR:
```
HfFe3Pt
1.0
4.3787 0.0000 0.0000
0.0000 4.3787 0.0000
0.0000 0.0000 4.3787
Fe Hf Pt
3 1 1
direct
0.5000 0.0000 0.0000
0.0000 0.5000 0.0000
0.0000 0.0000 0.5000
0.0000 0.0000 0.0000
0.5000 0.5000 0.5000
```

Computed properties:
Its space group is Pm-3m (221). The value obtained for the total energy is -0.5349 Ry/atom. As for the calculated volume: 16.79 Å³/atom. The energy of formation from the pure elements is 1.59 eV per atom. The calculation puts the density of states at the Fermi level at 0.945 states/eV per atom.